(1)
! Ba3NaSi2O8 | Alexandria | GGA-PBEsol | relaxed; values from VASP
&SYSTEM
  ibrav = 0, nat = 28, ntyp = 4
/
ATOMIC_SPECIES
Ba 137.33 Ba.upf
Na 22.99 Na.upf
Si 28.09 Si.upf
O 16.00 O.upf
CELL_PARAMETERS angstrom
2.861 -5.038 0.000
2.861 5.038 0.000
0.000 0.000 14.758
ATOMIC_POSITIONS crystal
Ba 0.026 0.974 0.750
Ba 0.341 0.659 0.579
Ba 0.341 0.659 0.921
Ba 0.659 0.341 0.079
Ba 0.659 0.341 0.421
Ba 0.974 0.026 0.250
Na 0.000 0.000 0.000
Na 0.000 0.000 0.500
Si 0.327 0.673 0.140
Si 0.327 0.673 0.360
Si 0.673 0.327 0.640
Si 0.673 0.327 0.860
O 0.164 0.373 0.095
O 0.164 0.373 0.405
O 0.168 0.832 0.121
O 0.168 0.832 0.379
O 0.299 0.701 0.750
O 0.365 0.635 0.250
O 0.373 0.164 0.595
O 0.373 0.164 0.905
O 0.627 0.836 0.095
O 0.627 0.836 0.405
O 0.635 0.365 0.750
O 0.701 0.299 0.250
O 0.832 0.168 0.621
O 0.832 0.168 0.879
O 0.836 0.627 0.595
O 0.836 0.627 0.905
! Uncorrected formation energy in eV per atom: -2.661
! Final energy in eV/atom: -7.0416

---

(2)
! BaNa2Si2O6 | Alexandria | GGA-PBEsol | relaxed; values from VASP
&SYSTEM
  ibrav = 0, nat = 22, ntyp = 4
/
ATOMIC_SPECIES
Ba 137.33 Ba.upf
Na 22.99 Na.upf
Si 28.09 Si.upf
O 16.00 O.upf
CELL_PARAMETERS angstrom
5.706 0.000 0.000
0.000 4.772 0.000
-0.248 0.000 11.400
ATOMIC_POSITIONS crystal
Ba 0.249 0.000 0.403
Ba 0.751 0.500 0.597
Na 0.200 0.514 0.178
Na 0.317 0.016 0.014
Na 0.683 0.516 0.986
Na 0.800 0.014 0.822
Si 0.179 0.556 0.847
Si 0.279 0.064 0.694
Si 0.721 0.564 0.306
Si 0.821 0.056 0.153
O 0.039 0.036 0.616
O 0.099 0.011 0.179
O 0.249 0.892 0.820
O 0.276 0.494 0.978
O 0.328 0.390 0.743
O 0.487 0.485 0.376
O 0.513 0.985 0.624
O 0.672 0.890 0.257
O 0.724 0.994 0.022
O 0.751 0.392 0.180
O 0.901 0.511 0.821
O 0.961 0.536 0.384
! Uncorrected formation energy in eV per atom: -2.640
! Final energy in eV/atom: -6.9980

---

(3)
! Ba6Na2Ta2V2O17 | Alexandria | GGA-PBEsol | relaxed; values from VASP
&SYSTEM
  ibrav = 0, nat = 58, ntyp = 5
/
ATOMIC_SPECIES
Ba 137.33 Ba.upf
Na 22.99 Na.upf
Ta 180.95 Ta.upf
V 50.94 V.upf
O 16.00 O.upf
CELL_PARAMETERS angstrom
5.888 0.000 0.000
-2.944 5.099 0.000
0.000 0.000 30.069
ATOMIC_POSITIONS crystal
Ba 0.000 0.000 0.000
Ba 0.000 0.000 0.250
Ba 0.000 0.000 0.500
Ba 0.000 0.000 0.750
Ba 0.333 0.667 0.090
Ba 0.333 0.667 0.410
Ba 0.333 0.667 0.681
Ba 0.333 0.667 0.819
Ba 0.667 0.333 0.181
Ba 0.667 0.333 0.319
Ba 0.667 0.333 0.590
Ba 0.667 0.333 0.910
Na 0.000 0.000 0.124
Na 0.000 0.000 0.376
Na 0.000 0.000 0.624
Na 0.000 0.000 0.876
Ta 0.333 0.667 0.202
Ta 0.333 0.667 0.298
Ta 0.667 0.333 0.702
Ta 0.667 0.333 0.798
V 0.333 0.667 0.552
V 0.333 0.667 0.948
V 0.667 0.333 0.052
V 0.667 0.333 0.448
O 0.029 0.514 0.250
O 0.174 0.348 0.170
O 0.174 0.348 0.330
O 0.174 0.826 0.170
O 0.174 0.826 0.330
O 0.175 0.350 0.572
O 0.175 0.350 0.928
O 0.175 0.825 0.572
O 0.175 0.825 0.928
O 0.333 0.667 0.005
O 0.333 0.667 0.495
O 0.348 0.174 0.670
O 0.348 0.174 0.830
O 0.350 0.175 0.072
O 0.350 0.175 0.428
O 0.486 0.514 0.250
O 0.486 0.971 0.250
O 0.514 0.029 0.750
O 0.514 0.486 0.750
O 0.650 0.825 0.572
O 0.650 0.825 0.928
O 0.652 0.826 0.170
O 0.652 0.826 0.330
O 0.667 0.333 0.505
O 0.667 0.333 0.995
O 0.825 0.175 0.072
O 0.825 0.175 0.428
O 0.825 0.650 0.072
O 0.825 0.650 0.428
O 0.826 0.174 0.670
O 0.826 0.174 0.830
O 0.826 0.652 0.670
O 0.826 0.652 0.830
O 0.971 0.486 0.750
! Uncorrected formation energy in eV per atom: -2.805
! Final energy in eV/atom: -7.9538

---

(4)
! Ba4Na2W2O11 | Alexandria | GGA-PBEsol | relaxed; values from VASP
&SYSTEM
  ibrav = 0, nat = 19, ntyp = 4
/
ATOMIC_SPECIES
Ba 137.33 Ba.upf
Na 22.99 Na.upf
W 183.84 W.upf
O 16.00 O.upf
CELL_PARAMETERS angstrom
8.538 0.000 0.000
0.000 4.141 4.193
0.000 -4.141 4.193
ATOMIC_POSITIONS crystal
Ba 0.222 0.247 0.753
Ba 0.222 0.753 0.247
Ba 0.778 0.247 0.753
Ba 0.778 0.753 0.247
Na 0.000 0.255 0.255
Na 0.500 0.788 0.788
W 0.000 0.750 0.750
W 0.500 0.268 0.268
O 0.000 0.524 0.524
O 0.000 0.526 0.989
O 0.000 0.983 0.983
O 0.000 0.989 0.526
O 0.229 0.748 0.748
O 0.277 0.281 0.281
O 0.500 0.052 0.052
O 0.500 0.168 0.569
O 0.500 0.569 0.168
O 0.723 0.281 0.281
O 0.771 0.748 0.748
! Uncorrected formation energy in eV per atom: -2.533
! Final energy in eV/atom: -7.6250

---

What is the formula in the first record? Ba3NaSi2O8

---

final energy of number 1 (Ba3NaSi2O8)? -7.0416 eV/atom

---

Look up the uncorrected formation energy of the second one. -2.640 eV per atom

---

Number 1 is which compound? Ba3NaSi2O8